Record 1
Computed, not measured: a relaxed structure of K4LiU3O12 at the PBE level of DFT.

The structure in CIF format:
```
data_K4LiU3O12
_chemical_formula_sum 'K8 Li2 U6 O24'
_cell_length_a 8.656
_cell_length_b 8.656
_cell_length_c 8.656
_cell_angle_alpha 90.00
_cell_angle_beta 90.00
_cell_angle_gamma 90.00
_symmetry_space_group_name_H-M 'I m -3 m'
_symmetry_Int_Tables_number 229
_symmetry_space_group_name_Hall '-I 4 2 3'
loop_
_atom_site_label
_atom_site_type_symbol
_atom_site_fract_x
_atom_site_fract_y
_atom_site_fract_z
K1 K 0.250 0.250 0.250
Li1 Li 0.000 0.000 0.000
U1 U 0.000 0.000 0.500
O1 O 0.000 0.000 0.277
O2 O 0.000 0.250 0.500
```

Output
DOS(E_F) = 0.7817 states/eV/atom
Raw formation energy = -52.7 eV per formula unit
Mass density = 5.48 g/cm3
Total DFT energy (no corrections) = -152.337 eV/f.u.

Record 2
Computed, not measured: a relaxed structure of K3LiU3O8 at the PBE level of DFT.

The structure in CIF format:
```
data_K3LiU3O8
_chemical_formula_sum 'K9 Li3 U9 O24'
_cell_length_a 6.9146
_cell_length_b 6.9146
_cell_length_c 18.9000
_cell_angle_alpha 90.00
_cell_angle_beta 90.00
_cell_angle_gamma 120.00
_symmetry_space_group_name_H-M 'R -3 m'
_symmetry_Int_Tables_number 166
_symmetry_space_group_name_Hall '-R 3 2"'
loop_
_atom_site_label
_atom_site_type_symbol
_atom_site_fract_x
_atom_site_fract_y
_atom_site_fract_z
K1 K 0.0000 0.5000 0.0000
Li1 Li 0.0000 0.0000 0.5000
U1 U 0.0000 0.5000 0.5000
O1 O 0.0000 0.0000 0.2327
O2 O 0.0173 0.5086 0.7753
```

Output
DOS(E_F) = 0.4125 states/eV/atom
Raw formation energy = -37.6 eV per formula unit
Mass density = 6.15 g/cm3
Total DFT energy (no corrections) = -116.305 eV/f.u.